(1)
The following is a DFT calculation (PBE-GGA) of a relaxed LaHfTc3 crystal.

formation energy from the elements	1.70	eV per atom
energy relative to the lowest polymorph listed for this composition	0.6209	eV/atom

Structure (CIF):
```
data_LaHfTc3
_chemical_formula_sum 'La1 Hf1 Tc3'
_cell_length_a 4.7299
_cell_length_b 4.7299
_cell_length_c 4.7299
_cell_angle_alpha 90.00
_cell_angle_beta 90.00
_cell_angle_gamma 90.00
_symmetry_space_group_name_H-M 'P m -3 m'
_symmetry_Int_Tables_number 221
_symmetry_space_group_name_Hall '-P 4 2 3'
loop_
_atom_site_label
_atom_site_fract_x
_atom_site_fract_y
_atom_site_fract_z
La1 0.0000 0.0000 0.0000
Hf1 0.5000 0.5000 0.5000
Tc1 0.0000 0.0000 0.5000
```



(2)
The following is a DFT calculation (PBE-GGA) of a relaxed La2HfTc crystal.

formation energy from the elements	0.48	eV per atom
energy relative to the lowest polymorph listed for this composition	0.0000	eV/atom

Structure (CIF):
```
data_La2HfTc
_chemical_formula_sum 'La8 Hf4 Tc4'
_cell_length_a 7.3791
_cell_length_b 7.3791
_cell_length_c 7.3791
_cell_angle_alpha 90.00
_cell_angle_beta 90.00
_cell_angle_gamma 90.00
_symmetry_space_group_name_H-M 'F m -3 m'
_symmetry_Int_Tables_number 225
_symmetry_space_group_name_Hall '-F 4 2 3'
loop_
_atom_site_label
_atom_site_fract_x
_atom_site_fract_y
_atom_site_fract_z
La1 0.2500 0.2500 0.2500
Hf1 0.0000 0.0000 0.0000
Tc1 0.0000 0.0000 0.5000
```



(3)
The following is a DFT calculation (PBE-GGA) of a relaxed LaHfTc2 crystal.

formation energy from the elements	0.05	eV per atom
energy relative to the lowest polymorph listed for this composition	0.0000	eV/atom

Structure (CIF):
```
data_LaHfTc2
_chemical_formula_sum 'La4 Hf4 Tc8'
_cell_length_a 6.7817
_cell_length_b 6.7817
_cell_length_c 6.7817
_cell_angle_alpha 90.00
_cell_angle_beta 90.00
_cell_angle_gamma 90.00
_symmetry_space_group_name_H-M 'F m -3 m'
_symmetry_Int_Tables_number 225
_symmetry_space_group_name_Hall '-F 4 2 3'
loop_
_atom_site_label
_atom_site_fract_x
_atom_site_fract_y
_atom_site_fract_z
La1 0.0000 0.0000 0.0000
Hf1 0.0000 0.0000 0.5000
Tc1 0.2500 0.2500 0.2500
```



(4)
The following is a DFT calculation (PBE-GGA) of a relaxed La3HfTc crystal.

formation energy from the elements	1.43	eV per atom
energy relative to the lowest polymorph listed for this composition	0.9886	eV/atom

Structure (CIF):
```
data_La3HfTc
_chemical_formula_sum 'La3 Hf1 Tc1'
_cell_length_a 5.5527
_cell_length_b 5.5527
_cell_length_c 5.5527
_cell_angle_alpha 90.00
_cell_angle_beta 90.00
_cell_angle_gamma 90.00
_symmetry_space_group_name_H-M 'P m -3 m'
_symmetry_Int_Tables_number 221
_symmetry_space_group_name_Hall '-P 4 2 3'
loop_
_atom_site_label
_atom_site_fract_x
_atom_site_fract_y
_atom_site_fract_z
La1 0.0000 0.0000 0.5000
Hf1 0.0000 0.0000 0.0000
Tc1 0.5000 0.5000 0.5000
```



(5)
The following is a DFT calculation (PBE-GGA) of a relaxed LaHfTc4 crystal.

formation energy from the elements	0.02	eV per atom

Structure (CIF):
```
data_LaHfTc4
_chemical_formula_sum 'La4 Hf4 Tc16'
_cell_length_a 7.6287
_cell_length_b 7.6287
_cell_length_c 7.6287
_cell_angle_alpha 90.00
_cell_angle_beta 90.00
_cell_angle_gamma 90.00
_symmetry_space_group_name_H-M 'F -4 3 m'
_symmetry_Int_Tables_number 216
_symmetry_space_group_name_Hall 'F -4 2 3'
loop_
_atom_site_label
_atom_site_fract_x
_atom_site_fract_y
_atom_site_fract_z
La1 0.0000 0.0000 0.0000
Hf1 0.2500 0.2500 0.7500
Tc1 0.1245 0.1245 0.3755
```



(6)
The following is a DFT calculation (PBE-GGA) of a relaxed La2HfTc2 crystal.

formation energy from the elements	0.12	eV per atom

Structure (CIF):
```
data_La2HfTc2
_chemical_formula_sum 'La4 Hf2 Tc4'
_cell_length_a 7.0292
_cell_length_b 7.0292
_cell_length_c 4.8912
_cell_angle_alpha 90.00
_cell_angle_beta 90.00
_cell_angle_gamma 90.00
_symmetry_space_group_name_H-M 'P 4/m b m'
_symmetry_Int_Tables_number 127
_symmetry_space_group_name_Hall '-P 4 2ab'
loop_
_atom_site_label
_atom_site_fract_x
_atom_site_fract_y
_atom_site_fract_z
La1 0.1801 0.3199 0.0000
Hf1 0.0000 0.0000 0.5000
Tc1 0.1214 0.6214 0.5000
```



(7)
The following is a DFT calculation (PBE-GGA) of a relaxed LaHfTl2Tc crystal.

formation energy from the elements	0.22	eV per atom

Structure (CIF):
```
data_LaHfTl2Tc
_chemical_formula_sum 'La1 Hf1 Tl2 Tc1'
_cell_length_a 5.3202
_cell_length_b 5.3202
_cell_length_c 4.9228
_cell_angle_alpha 90.00
_cell_angle_beta 90.00
_cell_angle_gamma 90.00
_symmetry_space_group_name_H-M 'P 4/m m m'
_symmetry_Int_Tables_number 123
_symmetry_space_group_name_Hall '-P 4 2'
loop_
_atom_site_label
_atom_site_fract_x
_atom_site_fract_y
_atom_site_fract_z
La1 0.0000 0.0000 0.0000
Hf1 0.5000 0.5000 0.0000
Tl1 0.0000 0.5000 0.5000
Tc1 0.5000 0.5000 0.5000
```



(8)
The following is a DFT calculation (PBE-GGA) of a relaxed La3HfTe crystal.

formation energy (no corrections)	0.1512	eV per atom
energy relative to the lowest polymorph listed for this composition	0.0000	eV/atom

Structure (CIF):
```
data_La3HfTe
_chemical_formula_sum 'La3 Hf1 Te1'
_cell_length_a 5.6711
_cell_length_b 5.6711
_cell_length_c 5.6711
_cell_angle_alpha 90.00
_cell_angle_beta 90.00
_cell_angle_gamma 90.00
_symmetry_space_group_name_H-M 'P m -3 m'
_symmetry_Int_Tables_number 221
_symmetry_space_group_name_Hall '-P 4 2 3'
loop_
_atom_site_label
_atom_site_fract_x
_atom_site_fract_y
_atom_site_fract_z
La1 0.0000 0.0000 0.5000
Hf1 0.0000 0.0000 0.0000
Te1 0.5000 0.5000 0.5000
```



(9)
The following is a DFT calculation (PBE-GGA) of a relaxed La2Hf2Te crystal.

formation energy (no corrections)	-0.1178	eV per atom
energy relative to the lowest polymorph listed for this composition	0.0000	eV/atom

Structure (CIF):
```
data_La2Hf2Te
_chemical_formula_sum 'La4 Hf4 Te2'
_cell_length_a 7.6155
_cell_length_b 7.6155
_cell_length_c 4.9049
_cell_angle_alpha 90.00
_cell_angle_beta 90.00
_cell_angle_gamma 90.00
_symmetry_space_group_name_H-M 'P 4/m b m'
_symmetry_Int_Tables_number 127
_symmetry_space_group_name_Hall '-P 4 2ab'
loop_
_atom_site_label
_atom_site_fract_x
_atom_site_fract_y
_atom_site_fract_z
La1 0.1693 0.3307 0.0000
Hf1 0.1355 0.6355 0.5000
Te1 0.0000 0.0000 0.5000
```



(10)
The following is a DFT calculation (PBE-GGA) of a relaxed LaHfTe3 crystal.

formation energy (no corrections)	0.4283	eV per atom
energy relative to the lowest polymorph listed for this composition	1.1423	eV/atom

Structure (CIF):
```
data_LaHfTe3
_chemical_formula_sum 'La1 Hf1 Te3'
_cell_length_a 6.0010
_cell_length_b 6.0010
_cell_length_c 6.0010
_cell_angle_alpha 90.00
_cell_angle_beta 90.00
_cell_angle_gamma 90.00
_symmetry_space_group_name_H-M 'P m -3 m'
_symmetry_Int_Tables_number 221
_symmetry_space_group_name_Hall '-P 4 2 3'
loop_
_atom_site_label
_atom_site_fract_x
_atom_site_fract_y
_atom_site_fract_z
La1 0.0000 0.0000 0.0000
Hf1 0.5000 0.5000 0.5000
Te1 0.0000 0.0000 0.5000
```



(11)
The following is a DFT calculation (PBE-GGA) of a relaxed La2Hf2Te crystal.

formation energy (no corrections)	0.6019	eV per atom
energy relative to the lowest polymorph listed for this composition	0.7197	eV/atom

Structure (CIF):
```
data_La2Hf2Te
_chemical_formula_sum 'La4 Hf4 Te2'
_cell_length_a 4.1767
_cell_length_b 4.1767
_cell_length_c 16.1154
_cell_angle_alpha 90.00
_cell_angle_beta 90.00
_cell_angle_gamma 90.00
_symmetry_space_group_name_H-M 'I 4/m m m'
_symmetry_Int_Tables_number 139
_symmetry_space_group_name_Hall '-I 4 2'
loop_
_atom_site_label
_atom_site_fract_x
_atom_site_fract_y
_atom_site_fract_z
La1 0.0000 0.5000 0.2500
Hf1 0.0000 0.0000 0.0840
Te1 0.0000 0.0000 0.5000
```



(12)
The following is a DFT calculation (PBE-GGA) of a relaxed LaHfTe crystal.

formation energy (no corrections)	-0.4855	eV per atom

Structure (CIF):
```
data_LaHfTe
_chemical_formula_sum 'La2 Hf2 Te2'
_cell_length_a 3.7807
_cell_length_b 3.7807
_cell_length_c 14.0691
_cell_angle_alpha 90.00
_cell_angle_beta 90.00
_cell_angle_gamma 120.00
_symmetry_space_group_name_H-M 'P -6 m 2'
_symmetry_Int_Tables_number 187
_symmetry_space_group_name_Hall 'P -6 2'
loop_
_atom_site_label
_atom_site_fract_x
_atom_site_fract_y
_atom_site_fract_z
La1 0.0000 0.0000 0.1887
Hf1 0.0000 0.0000 0.5000
Hf2 0.3333 0.6667 0.0000
Te1 0.3333 0.6667 0.3655
```